UPa2Si7Ir2 | PBE-GGA | optimized geometry

The structure in POSCAR format:
```
UPa2Si7Ir2
1.0
4.037 -0.034 -0.126
-0.029 4.037 -0.126
1.554 1.552 13.109
Pa Si Ir U
2 7 2 1
Direct
0.104 0.104 0.655 Pa
0.896 0.896 0.345 Pa
0.049 0.547 0.839 Si
0.547 0.049 0.839 Si
0.500 0.500 0.000 Si
0.665 0.665 0.545 Si
0.951 0.453 0.161 Si
0.453 0.951 0.161 Si
0.335 0.335 0.455 Si
0.581 0.581 0.723 Ir
0.419 0.419 0.277 Ir
0.000 0.000 0.000 U
```

Calculated values
ρ (g/cm3): 9.89
E (eV per atom): -7.6421
Space group: C2/m, No. 12